A relaxed structure of Li2CdAg, computed with PBE.

Cell and atoms, written as extended XYZ:
```
4
Lattice="4.709 0.000 0.000 0.000 3.071 -0.004 0.000 0.006 4.759" Properties=species:S:1:pos:R:3 pbc="T T T"
Li 0.000 0.391 4.325
Li 2.355 0.384 1.632
Ag 0.000 1.921 1.932
Cd 2.355 1.924 4.002
```

Calculated values
VASP energy   -2.12 eV/atom
Calculated formation energy   -223 meV/atom
Crystal system   orthorhombic